Nd5S5N2 after structural relaxation, computed with PBE.

```
Nd5S5N2
1.0
3.937 0.000 0.000
-1.969 6.535 -0.058
0.000 -3.219 10.539
Nd S N
5 5 2
Direct
0.102 0.204 0.384
0.656 0.311 0.797
0.344 0.689 0.203
0.898 0.796 0.616
0.000 0.000 0.000
0.500 0.000 0.500
0.663 0.326 0.062
0.748 0.496 0.356
0.252 0.504 0.644
0.337 0.674 0.938
0.044 0.087 0.795
0.956 0.913 0.205
```

## Properties
V: 22.5 Å³/atom
formation energy (no corrections): -1.7166 eV/atom
E: -0.250 hartree per atom
DOS at the Fermi energy: 7.26 states/eV per cell
spin magnetization: 0.0001 μB/atom

TaH2Pd2 after structural relaxation, computed with PBE.

```
TaH2Pd2
1.0
-0.499 -0.802 -6.759
-2.511 -6.277 0.930
-2.562 1.035 0.066
H Pd Ta
4 4 2
Direct
0.247 0.747 0.500
0.747 0.753 0.500
0.753 0.253 0.500
0.253 0.247 0.500
0.361 0.861 0.000
0.861 0.639 0.000
0.639 0.139 0.000
0.139 0.361 0.000
0.000 0.000 0.000
0.500 0.500 0.000
```

## Properties
V: 12.9 Å³/atom
E: -0.199 hartree per atom
excess energy over the best structure of this formula in the dataset: 44.9 kJ per mole of atoms
DOS at the Fermi energy: 4.88 states/eV per cell
spin magnetization: 0.0000 μB/atom

Which value of DOS at the Fermi energy does entry 1 give? 7.26 states/eV per cell